Mn2TcP2: relaxed, PBE-GGA.

Summary:
Space-group type: C2/m, No. 12
Crystal system: monoclinic
Energy above the most stable polymorph in this dataset (eV/atom): 0.1559

Unit cell a=3.7542 b=3.7542 c=4.9516 alpha=71.64 beta=71.64 gamma=89.75
Last column: nearest neighbours and their distance in Å.
Fractional positions:
Mn  0.2581  0.7419  0.5000  4 P 2.20-2.22
Mn  0.7419  0.2581  0.5000  4 P 2.20-2.22
Tc  0.0000  0.0000  0.0000  6 P 2.59-2.86, 4 Mn 2.83
P  0.6520  0.6520  0.7641  1 P 2.17, 4 Mn 2.20-2.22
P  0.3480  0.3480  0.2359  1 P 2.17, 4 Mn 2.20-2.22

***

MnTc2P: relaxed, PBE-GGA.

Summary:
Space-group type: R-3m, No. 166
Crystal system: trigonal
Energy above the most stable polymorph in this dataset (eV/atom): 0.2901

Unit cell a=8.0838 b=8.0838 c=8.0838 alpha=20.02 beta=20.02 gamma=20.02
Last column: nearest neighbours and their distance in Å.
Fractional positions:
Mn  0.5000  0.5000  0.5000  6 Tc 2.65, 6 Mn 2.81
Tc  0.7453  0.7453  0.7453  3 P 2.47, 3 Mn 2.65
Tc  0.2547  0.2547  0.2547  3 P 2.47, 3 Mn 2.65
P  0.0000  0.0000  0.0000  6 Tc 2.47

***

MnTc2P: relaxed, PBE-GGA.

Summary:
Space-group type: P4/mmm, No. 123
Crystal system: tetragonal
Energy above the most stable polymorph in this dataset (eV/atom): 0.0486

Unit cell a=4.1939 b=4.1939 c=2.9556 alpha=90.00 beta=90.00 gamma=90.00
Last column: nearest neighbours and their distance in Å.
Fractional positions:
Mn  0.5000  0.5000  0.5000  8 Tc 2.57
Tc  0.5000  0.0000  0.0000  4 Mn 2.57, 4 P 2.57
Tc  0.0000  0.5000  0.0000  4 Mn 2.57, 4 P 2.57
P  0.0000  0.0000  0.5000  8 Tc 2.57

***

MnTcP2: relaxed, PBE-GGA.

Summary:
Space-group type: Fm-3m, No. 225
Crystal system: cubic
Energy above the most stable polymorph in this dataset (eV/atom): 0.1610

Unit cell a=4.0658 b=4.0658 c=4.0658 alpha=60.00 beta=60.00 gamma=60.00
Last column: nearest neighbours and their distance in Å.
Fractional positions:
P  0.2500  0.2500  0.2500  4 Tc 2.49, 4 Mn 2.49
P  0.7500  0.7500  0.7500  4 Tc 2.49, 4 Mn 2.49
Mn  0.0000  0.0000  0.0000  8 P 2.49
Tc  0.5000  0.5000  0.5000  8 P 2.49

***

no.,raw total energy (eV per cell),total magnetization (μB/cell)
1,-40.3,0.36
2,-35.3,2.23
3,-36.3,2.33
4,-31.6,0.00